1.
First-principles (GGA-PBE) data for an optimized crystal structure of Pm3Sm3Er2, as listed in Alexandria.

Structure (extended XYZ):
```
16
Lattice="5.784 0.000 0.000 0.000 14.652 0.000 0.000 0.000 6.334" Properties=species:S:1:pos:R:3 pbc="T T T"
Pm 1.446 1.820 1.060
Pm 1.446 5.506 1.060
Pm 1.446 10.989 4.191
Pm 4.338 3.663 2.143
Pm 4.338 9.146 5.274
Pm 4.338 12.832 5.274
Sm 1.446 0.008 4.225
Sm 1.446 3.663 4.263
Sm 1.446 7.318 4.225
Sm 4.338 7.334 2.109
Sm 4.338 10.989 2.072
Sm 4.338 14.644 2.109
Er 1.446 9.163 1.037
Er 1.446 12.815 1.037
Er 4.338 1.837 5.297
Er 4.338 5.489 5.297
```


2.
First-principles (GGA-PBE) data for an optimized crystal structure of Pm2Sm3Er2, as listed in Alexandria.

Structure (extended XYZ):
```
7
Lattice="8.824 -1.763 0.000 8.824 1.763 0.000 -4.183 0.000 7.516" Properties=species:S:1:pos:R:3 pbc="T T T"
Pm -0.569 0.000 3.097
Pm 14.034 0.000 4.419
Sm 2.139 0.000 5.284
Sm 8.824 0.000 0.000
Sm 11.326 0.000 2.232
Er 5.504 0.000 1.263
Er 7.962 0.000 6.253
```


3.
First-principles (GGA-PBE) data for an optimized crystal structure of Pm4Sm15Er, as listed in Alexandria.

Structure (extended XYZ):
```
20
Lattice="5.129 0.000 0.000 0.000 5.129 0.000 0.000 0.000 25.633" Properties=species:S:1:pos:R:3 pbc="T T T"
Pm 0.000 0.000 2.574
Pm 0.000 0.000 7.719
Pm 0.000 0.000 17.914
Pm 0.000 0.000 23.059
Sm 0.000 2.565 0.000
Sm 0.000 2.565 5.148
Sm 0.000 2.565 10.291
Sm 0.000 2.565 15.342
Sm 0.000 2.565 20.485
Sm 2.565 0.000 0.000
Sm 2.565 0.000 5.148
Sm 2.565 0.000 10.291
Sm 2.565 0.000 15.342
Sm 2.565 0.000 20.485
Sm 2.565 2.565 2.572
Sm 2.565 2.565 7.725
Sm 2.565 2.565 12.817
Sm 2.565 2.565 17.908
Sm 2.565 2.565 23.061
Er 0.000 0.000 12.817
```


4.
First-principles (GGA-PBE) data for an optimized crystal structure of Pm5Sm3Er3, as listed in Alexandria.

Structure (extended XYZ):
```
11
Lattice="11.299 0.000 0.000 -5.649 9.785 0.000 0.000 0.000 3.456" Properties=species:S:1:pos:R:3 pbc="T T T"
Pm -3.743 6.482 0.000
Pm 0.000 6.523 0.000
Pm 1.907 3.303 0.000
Pm 7.485 0.000 0.000
Pm 5.649 3.262 0.000
Sm -2.281 3.950 1.728
Sm 4.561 0.000 1.728
Sm 3.369 5.835 1.728
Er -0.900 1.558 0.000
Er 1.799 0.000 0.000
Er 4.750 8.227 0.000
```


5.
First-principles (GGA-PBE) data for an optimized crystal structure of Pm5Sm2Er3, as listed in Alexandria.

Structure (extended XYZ):
```
20
Lattice="5.423 -7.702 0.000 5.423 7.702 0.000 -5.378 0.000 8.123" Properties=species:S:1:pos:R:3 pbc="T T T"
Pm 1.390 7.217 6.092
Pm -1.347 1.798 5.881
Pm 1.390 4.140 6.092
Pm 4.079 3.553 2.031
Pm 1.342 -1.798 1.819
Pm 4.126 1.798 6.304
Pm 1.390 -3.553 6.092
Pm 4.079 -4.140 2.031
Pm 6.815 -1.798 2.242
Pm 4.079 -7.217 2.031
Sm 1.444 1.875 3.636
Sm -1.245 -1.875 7.697
Sm 6.713 1.875 0.426
Sm 4.024 -1.875 4.487
Er 1.451 1.854 0.395
Er -1.238 -1.854 4.456
Er 4.079 0.371 2.031
Er 1.390 -0.371 6.092
Er 6.706 1.854 3.666
Er 4.017 -1.854 7.728
```


6.
First-principles (GGA-PBE) data for an optimized crystal structure of Pm7SmEr12, as listed in Alexandria.

Structure (extended XYZ):
```
20
Lattice="5.967 3.445 5.391 -5.967 3.445 5.391 0.000 -6.890 5.391" Properties=species:S:1:pos:R:3 pbc="T T T"
Pm 0.000 0.000 0.000
Pm -1.938 -0.548 4.704
Pm 1.444 -1.405 4.704
Pm 0.495 1.952 4.704
Pm -0.495 -1.952 11.469
Pm -1.444 1.405 11.469
Pm 1.938 0.548 11.469
Sm 0.000 0.000 8.086
Er -5.230 0.516 6.740
Er -3.062 -4.271 9.433
Er -0.756 -3.230 7.210
Er -3.175 -0.960 8.962
Er -2.419 2.270 7.210
Er 2.168 -4.787 6.740
Er -2.168 4.787 9.433
Er 2.419 -2.270 8.962
Er 3.175 0.960 7.210
Er 0.756 3.230 8.962
Er 3.062 4.271 6.740
Er 5.230 -0.516 9.433
```


7.
First-principles (GGA-PBE) data for an optimized crystal structure of Pm8SmEr2, as listed in Alexandria.

Structure (extended XYZ):
```
11
Lattice="9.222 -2.562 0.000 9.222 2.562 0.000 -2.142 0.000 7.814" Properties=species:S:1:pos:R:3 pbc="T T T"
Pm 0.371 0.000 1.775
Pm 1.068 0.000 5.358
Pm 4.597 0.000 4.607
Pm 7.427 0.000 0.350
Pm 8.875 0.000 7.464
Pm 11.705 0.000 3.208
Pm 15.234 0.000 2.456
Pm 15.931 0.000 6.039
Sm 8.151 0.000 3.907
Er 3.904 0.000 1.054
Er 12.398 0.000 6.761
```


8.
First-principles (GGA-PBE) data for an optimized crystal structure of Pm5Sm3Er, as listed in Alexandria.

Structure (extended XYZ):
```
18
Lattice="8.286 -3.399 0.000 8.286 3.399 0.000 -4.078 0.000 10.935" Properties=species:S:1:pos:R:3 pbc="T T T"
Pm 1.600 0.010 0.533
Pm -0.439 -0.010 6.001
Pm 5.228 2.142 8.201
Pm 2.769 0.665 7.094
Pm 4.808 -0.665 1.627
Pm 7.686 0.665 9.308
Pm 9.725 -0.665 3.841
Pm 7.267 -2.142 2.734
Pm 12.934 0.010 4.934
Pm 10.895 -0.010 10.402
Sm 0.414 0.704 9.503
Sm 2.452 -0.704 4.035
Sm 8.286 0.000 0.000
Sm 6.247 0.000 5.468
Sm 10.042 0.704 6.900
Sm 12.081 -0.704 1.432
Er 7.267 1.591 2.734
Er 5.228 -1.591 8.201
```


9.
First-principles (GGA-PBE) data for an optimized crystal structure of PmSm4Er3, as listed in Alexandria.

Structure (extended XYZ):
```
16
Lattice="11.464 0.000 0.000 0.000 7.305 0.000 0.000 0.000 6.306" Properties=species:S:1:pos:R:3 pbc="T T T"
Pm 0.000 0.909 0.000
Pm 5.732 6.396 3.153
Sm 0.000 2.722 3.169
Sm 0.000 4.586 6.284
Sm 2.834 4.574 2.103
Sm 2.898 2.732 5.257
Sm 5.732 2.719 3.131
Sm 5.732 4.583 0.016
Sm 8.566 2.732 5.257
Sm 8.630 4.574 2.103
Er 0.000 6.413 3.152
Er 2.865 0.895 2.098
Er 2.867 6.410 5.252
Er 5.732 0.892 6.305
Er 8.599 0.895 2.098
Er 8.597 6.410 5.252
```


10.
First-principles (GGA-PBE) data for an optimized crystal structure of Pm9Sm2Er, as listed in Alexandria.

Structure (extended XYZ):
```
12
Lattice="5.136 0.000 0.000 0.000 5.136 0.000 0.000 0.000 15.410" Properties=species:S:1:pos:R:3 pbc="T T T"
Pm 0.000 0.000 0.000
Pm 0.000 0.000 5.122
Pm 0.000 0.000 10.288
Pm 0.000 2.568 2.545
Pm 0.000 2.568 7.705
Pm 0.000 2.568 12.865
Pm 2.568 0.000 2.545
Pm 2.568 0.000 7.705
Pm 2.568 0.000 12.865
Sm 2.568 2.568 5.121
Sm 2.568 2.568 10.289
Er 2.568 2.568 0.000
```


Mass density (computed, g/cm3): 7.6 7.6 7.4 7.3 7.5 7.9 7.4 7.2 7.8 7.2
Energy (computed, eV per atom): -4.666 -4.567 -4.701 -4.367 -4.499 -4.403 -4.697 -4.562 -4.642 -4.713
ΔH_f (0 K) (computed, eV/atom): 0.026 0.117 0.016 0.324 0.189 0.233 0.017 0.157 0.022 0.016